Material: LiMoO2
Method: DFT, GGA+U
State: optimized geometry

Polymorph energy (0 for the lowest one) ... 92 meV/atom

Lattice parameters (Å, degrees): 5.950 5.950 5.950 32.13 32.13 32.13
Last column: magnetic moment on the atom in μB.
Element x y z (fractional)
1 Mo 0.500 0.500 0.500  2.76
2 O 0.896 0.896 0.896  0.04
3 O 0.104 0.104 0.104  0.04
4 Li 0.000 0.000 0.000  0.01